Record 1
The following is a DFT calculation (PBE) of crystalline CaY2W at its relaxed geometry.

Calculated values
Excess energy over the best structure of this formula in the dataset = 238 meV per atom
SG = No. 25
Formation energy from the elements = 2.487 eV/f.u.

Cell and atoms, written as extended XYZ:
```
4
Lattice="3.239 0.000 0.000 0.000 4.702 0.000 0.000 0.000 7.152" Properties=species:S:1:pos:R:3 pbc="T T T"
Ca 0.000 0.000 0.000
Y 0.000 0.000 3.103
Y 1.619 2.351 4.950
W 1.619 2.351 1.842
```


Record 2
The following is a DFT calculation (PBE) of crystalline CaY2W at its relaxed geometry.

Calculated values
Excess energy over the best structure of this formula in the dataset = 365 meV per atom
SG = No. 216
Formation energy from the elements = 2.995 eV/f.u.

Cell and atoms, written as extended XYZ:
```
4
Lattice="0.000 3.753 3.753 3.753 0.000 3.753 3.753 3.753 0.000" Properties=species:S:1:pos:R:3 pbc="T T T"
Ca 0.000 0.000 0.000
Y 3.753 3.753 3.753
Y 5.629 5.629 5.629
W 1.876 1.876 1.876
```


Record 3
The following is a DFT calculation (PBE) of crystalline CaY2W at its relaxed geometry.

Calculated values
Excess energy over the best structure of this formula in the dataset = 241 meV per atom
SG = No. 6
Formation energy from the elements = 2.500 eV/f.u.

Cell and atoms, written as extended XYZ:
```
4
Lattice="3.223 0.000 0.000 0.000 4.791 0.000 -0.703 0.000 7.048" Properties=species:S:1:pos:R:3 pbc="T T T"
Ca 0.000 0.000 0.000
Y 0.962 2.396 4.925
Y 2.582 0.000 3.075
W 1.056 2.396 1.857
```


Record 4
The following is a DFT calculation (PBE) of crystalline CaY2W at its relaxed geometry.

Calculated values
Excess energy over the best structure of this formula in the dataset = 224 meV per atom
SG = No. 35
Formation energy from the elements = 2.434 eV/f.u.

Cell and atoms, written as extended XYZ:
```
4
Lattice="2.071 -2.442 0.000 2.071 2.442 0.000 0.000 0.000 10.723" Properties=species:S:1:pos:R:3 pbc="T T T"
Ca 0.000 0.000 0.000
Y 0.000 0.000 6.246
Y 2.071 0.000 3.183
W 2.071 0.000 8.386
```


Record 5
The following is a DFT calculation (PBE) of crystalline CaY2W at its relaxed geometry.

Calculated values
Excess energy over the best structure of this formula in the dataset = 208 meV per atom
SG = No. 225
Formation energy from the elements = 2.367 eV/f.u.

Cell and atoms, written as extended XYZ:
```
4
Lattice="0.000 3.706 3.706 3.706 0.000 3.706 3.706 3.706 0.000" Properties=species:S:1:pos:R:3 pbc="T T T"
Ca 0.000 0.000 0.000
Y 1.853 1.853 1.853
Y 5.558 5.558 5.558
W 3.706 3.706 3.706
```


Record 6
The following is a DFT calculation (PBE) of crystalline Ca2Y2W at its relaxed geometry.

Calculated values
Excess energy over the best structure of this formula in the dataset = 528 meV per atom
SG = No. 139
Formation energy from the elements = 6.124 eV/f.u.

Cell and atoms, written as extended XYZ:
```
5
Lattice="-2.105 2.105 9.346 2.105 -2.105 9.346 2.105 2.105 -9.346" Properties=species:S:1:pos:R:3 pbc="T T T"
Ca 0.000 0.000 1.621
Ca 0.000 0.000 17.072
Y 2.105 0.000 4.673
Y 0.000 2.105 4.673
W 0.000 0.000 9.346
```